DyErMnHg PBE-GGA optimized geometry; energy relative to the elements = -0.084 eV/atom; magnetic moment = 0.7401 μB per atom; VASP energy = -4.7429 eV per atom
1.0
0.000 3.620 3.620
3.620 0.000 3.620
3.620 3.620 0.000
Dy Er Mn Hg
1 1 1 1
direct
0.000 0.000 0.000
0.500 0.500 0.500
0.750 0.750 0.750
0.250 0.250 0.250